## Sr3TiF (meta-GGA SCAN)

Data for Sr3TiF at its PBEsol-relaxed geometry.

POSCAR file:
```
Sr3TiF
1.0
-1.994 -5.734 1.184
2.565 0.269 5.622
-5.263 2.304 2.292
Sr Ti F
3 1 1
direct
0.000 0.000 0.500 Sr
0.500 0.000 0.000 Sr
0.000 0.500 0.000 Sr
0.000 0.000 0.000 Ti
0.500 0.500 0.500 F
```

Values from the calculation:
DOS at the Fermi energy	4.1	states/eV/cell
electronic total energy	-17.07	eV/atom
M_tot	4.9	μB/cell
E_form (uncorrected)	211.1	meV per atom

## SrTl3F (meta-GGA SCAN)

Data for SrTl3F at its PBEsol-relaxed geometry.

POSCAR file:
```
SrTl3F
1.0
-1.329 4.996 0.041
-4.043 -1.051 -3.047
-2.936 -0.815 4.177
Tl Sr F
3 1 1
direct
0.000 0.000 0.500 Tl
0.000 0.500 0.000 Tl
0.500 0.000 0.000 Tl
0.500 0.500 0.500 Sr
0.000 0.000 0.000 F
```

Values from the calculation:
DOS at the Fermi energy	2.3	states/eV/cell
electronic total energy	-49.40	eV/atom
M_tot	0.0	μB/cell
E_form (uncorrected)	-823.6	meV per atom

## SrWF3 (meta-GGA SCAN)

Data for SrWF3 at its PBEsol-relaxed geometry.

POSCAR file:
```
SrWF3
1.0
-1.482 3.189 -2.557
0.961 -2.371 -3.515
-3.972 -1.763 0.103
Sr F W
1 3 1
direct
0.500 0.500 0.500 Sr
0.000 0.000 0.500 F
0.500 0.000 0.000 F
0.000 0.500 0.000 F
0.000 0.000 0.000 W
```

Values from the calculation:
DOS at the Fermi energy	3.6	states/eV/cell
electronic total energy	-21.90	eV/atom
M_tot	2.2	μB/cell
E_form (uncorrected)	-1381.2	meV per atom

## TaTe2F (meta-GGA SCAN)

Data for TaTe2F at its PBEsol-relaxed geometry.

POSCAR file:
```
TaTe2F
1.0
-0.169 -4.767 0.105
1.338 -2.348 3.931
-3.265 -2.212 2.685
Ta Te F
1 2 1
direct
0.500 0.500 0.500 Ta
0.250 0.250 0.250 Te
0.750 0.750 0.750 Te
0.000 0.000 0.000 F
```

Values from the calculation:
DOS at the Fermi energy	3.3	states/eV/cell
electronic total energy	-36.58	eV/atom
M_tot	0.7	μB/cell
E_form (uncorrected)	-427.7	meV per atom

## TaTeF3 (meta-GGA SCAN)

Data for TaTeF3 at its PBEsol-relaxed geometry.

POSCAR file:
```
TaTeF3
1.0
-1.384 4.041 -1.567
-0.740 -1.841 -4.095
-4.271 -0.990 1.217
F Ta Te
3 1 1
direct
0.000 0.000 0.500 F
0.000 0.500 0.000 F
0.500 0.000 0.000 F
0.500 0.500 0.500 Ta
0.000 0.000 0.000 Te
```

Values from the calculation:
DOS at the Fermi energy	9.1	states/eV/cell
electronic total energy	-22.74	eV/atom
M_tot	3.8	μB/cell
E_form (uncorrected)	152.9	meV per atom

## Ta2TeF (meta-GGA SCAN)

Data for Ta2TeF at its PBEsol-relaxed geometry.

POSCAR file:
```
Ta2TeF
1.0
-3.419 -1.577 -1.952
1.387 -3.938 0.751
-3.158 2.692 7.963
F Te Ta
2 2 4
direct
0.500 0.500 0.000 F
0.750 0.250 0.500 F
0.000 0.000 0.000 Te
0.250 0.750 0.500 Te
0.625 0.577 0.750 Ta
0.423 0.875 0.250 Ta
0.827 0.375 0.250 Ta
0.125 0.173 0.750 Ta
```

Values from the calculation:
DOS at the Fermi energy	7.7	states/eV/cell
electronic total energy	-43.48	eV/atom
M_tot	0.0	μB/cell
E_form (uncorrected)	13.1	meV per atom

## TaTe3F (meta-GGA SCAN)

Data for TaTe3F at its PBEsol-relaxed geometry.

POSCAR file:
```
TaTe3F
1.0
-1.333 -2.677 -4.328
4.780 0.875 -2.014
1.744 -4.443 2.210
Te F Ta
3 1 1
direct
0.500 0.000 0.000 Te
0.000 0.500 0.000 Te
0.000 0.000 0.500 Te
0.500 0.500 0.500 F
0.000 0.000 0.000 Ta
```

Values from the calculation:
DOS at the Fermi energy	4.0	states/eV/cell
electronic total energy	-36.38	eV/atom
M_tot	0.0	μB/cell
E_form (uncorrected)	-0.1	meV per atom

## Ta3TeF (meta-GGA SCAN)

Data for Ta3TeF at its PBEsol-relaxed geometry.

POSCAR file:
```
Ta3TeF
1.0
5.003 0.000 0.000
0.000 5.003 0.000
0.000 0.000 5.003
Te Ta F
1 3 1
direct
0.000 0.000 0.000 Te
0.000 0.000 0.500 Ta
0.000 0.500 0.000 Ta
0.500 0.000 0.000 Ta
0.500 0.500 0.500 F
```

Values from the calculation:
DOS at the Fermi energy	5.8	states/eV/cell
electronic total energy	-46.02	eV/atom
M_tot	0.0	μB/cell
E_form (uncorrected)	2092.6	meV per atom